First-principles (PBE) data for a relaxed structure of La2YTmSe4, as listed in Alexandria via LeMat-Bulk.

Lattice parameters (Å, degrees): 7.156 4.104 7.424 90.00 108.56 90.00
Fractional positions:
La1 0.000 0.000 0.000
La2 0.500 0.500 0.000
Y1 0.000 0.500 0.500
Tm1 0.500 0.000 0.500
Se1 0.246 0.000 0.729
Se2 0.261 0.500 0.273
Se3 0.739 0.500 0.727
Se4 0.754 0.000 0.271

VASP energy = -6.2063 eV per atom
Raw formation energy = -1865 meV/atom
M_tot = 0.00 μB/atom
N(E_F) = 0.583 states/eV/atom